Density functional theory data (GGA-PBE) for NdMgBeHg after structural relaxation.

Results
- Space group: F-43m
- Theoretical density: 7.193 g cm⁻³
- DFT total energy: -2.6940 eV/atom
- DFT formation energy: -0.096 eV/atom

a b c (Å): 7.042 7.042 7.042
angles (deg): 90.00 90.00 90.00
Fractional positions:
Nd: 0.000 0.000 0.000
Nd: 0.000 0.500 0.500
Nd: 0.500 0.000 0.500
Nd: 0.500 0.500 0.000
Mg: 0.000 0.000 0.500
Mg: 0.000 0.500 0.000
Mg: 0.500 0.000 0.000
Mg: 0.500 0.500 0.500
Be: 0.250 0.250 0.250
Be: 0.250 0.750 0.750
Be: 0.750 0.250 0.750
Be: 0.750 0.750 0.250
Hg: 0.250 0.250 0.750
Hg: 0.250 0.750 0.250
Hg: 0.750 0.250 0.250
Hg: 0.750 0.750 0.750

Density functional theory data (GGA-PBE) for MgBe2HgPd after structural relaxation.

Results
- Space group: P4/mmm
- Theoretical density: 5.752 g cm⁻³
- DFT total energy: -1.6626 eV/atom
- DFT formation energy: 1.246 eV/atom

a b c (Å): 4.477 4.477 5.032
angles (deg): 90.00 90.00 90.00
Fractional positions:
Mg: 0.000 0.000 0.000
Be: 0.000 0.500 0.000
Be: 0.500 0.000 0.000
Hg: 0.000 0.000 0.500
Pd: 0.500 0.500 0.500

Density functional theory data (GGA-PBE) for PmMgBeHg after structural relaxation.

Results
- Space group: F-43m
- Theoretical density: 7.323 g cm⁻³
- DFT total energy: -2.6976 eV/atom
- DFT formation energy: -0.104 eV/atom

a b c (Å): 7.005 7.005 7.005
angles (deg): 90.00 90.00 90.00
Fractional positions:
Pm: 0.000 0.000 0.000
Pm: 0.000 0.500 0.500
Pm: 0.500 0.000 0.500
Pm: 0.500 0.500 0.000
Mg: 0.000 0.000 0.500
Mg: 0.000 0.500 0.000
Mg: 0.500 0.000 0.000
Mg: 0.500 0.500 0.500
Be: 0.250 0.250 0.250
Be: 0.250 0.750 0.750
Be: 0.750 0.250 0.750
Be: 0.750 0.750 0.250
Hg: 0.250 0.250 0.750
Hg: 0.250 0.750 0.250
Hg: 0.750 0.250 0.250
Hg: 0.750 0.750 0.750

Density functional theory data (GGA-PBE) for MgBeHg2Ru after structural relaxation.

Results
- Space group: P4/mmm
- Theoretical density: 7.280 g cm⁻³
- DFT total energy: -1.6526 eV/atom
- DFT formation energy: 1.387 eV/atom

a b c (Å): 5.053 5.053 4.784
angles (deg): 90.00 90.00 90.00
Fractional positions:
Mg: 0.000 0.000 0.000
Be: 0.500 0.500 0.500
Hg: 0.000 0.500 0.000
Hg: 0.500 0.000 0.000
Ru: 0.000 0.000 0.500

Density functional theory data (GGA-PBE) for TbMgBeHg after structural relaxation.

Results
- Space group: F-43m
- Theoretical density: 7.945 g cm⁻³
- DFT total energy: -2.6751 eV/atom
- DFT formation energy: -0.112 eV/atom

a b c (Å): 6.899 6.899 6.899
angles (deg): 90.00 90.00 90.00
Fractional positions:
Tb: 0.000 0.000 0.000
Tb: 0.000 0.500 0.500
Tb: 0.500 0.000 0.500
Tb: 0.500 0.500 0.000
Mg: 0.000 0.000 0.500
Mg: 0.000 0.500 0.000
Mg: 0.500 0.000 0.000
Mg: 0.500 0.500 0.500
Be: 0.250 0.250 0.750
Be: 0.250 0.750 0.250
Be: 0.750 0.250 0.250
Be: 0.750 0.750 0.750
Hg: 0.250 0.250 0.250
Hg: 0.250 0.750 0.750
Hg: 0.750 0.250 0.750
Hg: 0.750 0.750 0.250

Density functional theory data (GGA-PBE) for MgBeTlHg2 after structural relaxation.

Results
- Space group: P4/mmm
- Theoretical density: 5.770 g cm⁻³
- DFT total energy: -0.7851 eV/atom
- DFT formation energy: 0.873 eV/atom

a b c (Å): 5.789 5.789 5.487
angles (deg): 90.00 90.00 90.00
Fractional positions:
Mg: 0.000 0.000 0.000
Be: 0.500 0.500 0.000
Tl: 0.000 0.000 0.500
Hg: 0.000 0.500 0.500
Hg: 0.500 0.000 0.500